DFT (GGA-PBE) results for Pr3Er2TmSe6 after structural relaxation.

```
data_Pr3Er2TmSe6
_symmetry_space_group_name_H-M 'C 1 2/m 1'
_symmetry_Int_Tables_number 12
_cell_length_a 7.0537
_cell_length_b 12.2611
_cell_length_c 7.3974
_cell_angle_alpha 90.00
_cell_angle_beta 108.63
_cell_angle_gamma 90.00
loop_
_symmetry_equiv_pos_as_xyz
'x,y,z'
'-x,-y,-z'
'-x,y,-z'
'x,-y,z'
'x+1/2,y+1/2,z'
'-x+1/2,-y+1/2,-z'
'-x+1/2,y+1/2,-z'
'x+1/2,-y+1/2,z'
loop_
_atom_site_label
_atom_site_fract_x
_atom_site_fract_y
_atom_site_fract_z
_atom_site_occupancy
Pr1 0.0000 0.0000 0.0000 1
Pr2 0.0000 0.3324 0.0000 1
Er1 0.0000 0.1667 0.5000 1
Tm1 0.0000 0.5000 0.5000 1
Se1 0.2417 0.3340 0.7275 1
Se2 0.2441 0.0000 0.7284 1
```

Summary:
The calculation puts the formation energy (no corrections) at -1.78 eV per atom. Its raw total energy is -140.344 eV/cell. As for the crystal system: monoclinic. The value obtained for the magnetization is 0.000 μB per cell.